Record 1
LiTlRuI2 | PBE-GGA | relaxed

Summary:
For the energy relative to the elements, uncorrected, the calculation gives 0.985 eV per atom. The value obtained for the size of the total moment is 3.97 μB per cell. The raw total energy is -11.7 eV/f.u.

Lattice parameters (Å, degrees): 6.369 5.160 6.369 90.00 90.00 90.00
Sites, in units of the cell vectors:
I 0.000 0.000 0.500
I 0.500 0.000 0.000
Ru 0.500 0.500 0.500
Tl 0.000 0.000 0.000
Li 0.000 0.500 0.000

=====

Record 2
NiRh3 | PBE-GGA | relaxed

Summary:
The value obtained for the formation energy from the elements is 0.0523 eV/atom. The value obtained for the size of the total moment is 1.75 μB per cell. The raw total energy is -27.6 eV/f.u.

Lattice parameters (Å, degrees): 4.626 4.626 2.697 90.00 90.00 109.36
Sites, in units of the cell vectors:
Ni 0.000 0.000 0.000
Rh 0.000 0.500 0.500
Rh 0.500 0.000 0.500
Rh 0.500 0.500 0.000

=====

Which of these has the lowest raw total energy?
NiRh3

=====

Which formula does entry 1 have?
LiTlRuI2

=====

Among the records above, which one has the highest size of the total moment?
LiTlRuI2

=====

Look up the raw total energy of the first one.
-11.7 eV/f.u.